Entry from Alexandria: a geometry-optimized Rb2BaV3F12 structure (PBE with a Hubbard U).

- Energy: -309.53 eV per cell

Cell lengths 7.7383, 7.7383, 18.0673 Å; angles 90.00, 90.00, 120.00 degrees
Space group R-3m (No. 166, hexagonal axes)
One atom of each set of equivalent atoms:
Rb: 0.0000 0.0000 0.1180 [6 per cell]
Ba: 0.0000 0.0000 0.5000 [3 per cell]
V: 0.0000 0.5000 0.0000 [9 per cell]
F: 0.0349 0.5175 0.8913 [18 per cell]
F: 0.0807 0.5404 0.3171 [18 per cell]